Compound: LiNd4Rh
Source: the Alexandria database
Functional: PBE
Structure: relaxed

The structure in POSCAR format:
```
LiNd4Rh
1.0
0.000 7.063 7.063
7.063 0.000 7.063
7.063 7.063 0.000
Li Nd Rh
4 16 4
Direct
0.422 0.422 0.422
0.422 0.422 0.735
0.422 0.735 0.422
0.735 0.422 0.422
0.041 0.653 0.653
0.063 0.063 0.437
0.063 0.437 0.063
0.063 0.437 0.437
0.186 0.186 0.814
0.186 0.814 0.186
0.186 0.814 0.814
0.437 0.063 0.063
0.437 0.063 0.437
0.437 0.437 0.063
0.653 0.041 0.653
0.653 0.653 0.041
0.653 0.653 0.653
0.814 0.186 0.186
0.814 0.186 0.814
0.814 0.814 0.186
0.427 0.858 0.858
0.858 0.427 0.858
0.858 0.858 0.427
0.858 0.858 0.858
```

Properties
The value obtained for the total energy is -119.96 eV/cell. As for the relative energy among the computed polymorphs: 0.0 meV per atom. The calculation puts the formation energy at -6.358 kcal/mol of atoms. As for the density of states at the Fermi level: 1.2387 states/eV/atom. Its total magnetization is 0.0 μB/f.u.